# 1
A geometry-optimized Na2MgZrO4 structure, computed with GGA-PBE.

Lattice parameters (Å, degrees): 3.2161 5.7922 5.4735 71.61 90.00 90.00
Atoms (fractional coordinates):
Na 0.0000 0.0000 0.0000
Na 0.5000 0.0000 0.5000
Mg 0.5000 0.5000 0.0000
Zr 0.0000 0.5000 0.5000
O 0.0000 0.7014 0.7600
O 0.0000 0.2986 0.2400
O 0.5000 0.7087 0.2712
O 0.5000 0.2913 0.7288

Calculated values
Symmetry: P2/m
Volume, Å³/cell: 97
Formation energy (no corrections), kcal/mol of atoms: -58.3


# 2
A geometry-optimized Dy2PHPt6 structure, computed with GGA-PBE.

Lattice parameters (Å, degrees): 5.7055 6.9044 8.4010 90.00 90.00 90.00
Atoms (fractional coordinates):
Dy 0.5000 0.7757 0.2205
Dy 0.0000 0.2243 0.7205
Dy 0.5000 0.7757 0.7795
Dy 0.0000 0.2243 0.2795
P 0.5000 0.1791 0.5000
P 0.0000 0.8209 0.0000
H 0.0000 0.6527 0.5000
H 0.5000 0.3473 0.0000
Pt 0.5000 0.3199 0.2498
Pt 0.5000 0.3199 0.7502
Pt 0.0000 0.6801 0.2502
Pt 0.0000 0.6801 0.7498
Pt 0.2398 0.9240 0.5000
Pt 0.7602 0.9240 0.5000
Pt 0.2595 0.5080 0.5000
Pt 0.7405 0.5080 0.5000
Pt 0.7595 0.4920 0.0000
Pt 0.2405 0.4920 0.0000
Pt 0.2602 0.0760 0.0000
Pt 0.7398 0.0760 0.0000

Calculated values
Symmetry: Pmmn
Volume, Å³/cell: 331
Calculated total energy, eV/atom: -6.28